{"formula": "Dy4Y4Tm3", "functional": "GGA-PBE", "state": "relaxed", "dft_energy_ev_per_atom": -5.18, "de_polymorph_mev_per_atom": 0, "ef_ev_per_atom": 0.06, "dos_ef_per_ev_atom": 1.975, "cell": [[3.510, 0.000, 0.000], [0.000, 5.568, 0.000], [1.753, 2.775, 17.665]], "species": ["Dy", "Dy", "Dy", "Dy", "Y", "Y", "Y", "Y", "Tm", "Tm", "Tm"], "fractional_positions": [[0.045, 0.045, 0.409], [0.179, 0.679, 0.141], [0.821, 0.321, 0.859], [0.955, 0.955, 0.591], [0.090, 0.589, 0.320], [0.233, 0.233, 0.035], [0.767, 0.767, 0.965], [0.910, 0.411, 0.680], [0.364, 0.864, 0.773], [0.500, 0.500, 0.500], [0.636, 0.136, 0.227]]}


{"formula": "LaRe2Sb", "functional": "GGA-PBE", "state": "relaxed", "dft_energy_ev_per_atom": -7.96, "e_form_raw_ev_per_atom": 0.525, "dos_ef_per_ev_atom": 0.731, "cell": [[-2.267, 2.267, 9.597], [2.267, -2.267, 9.597], [2.267, 2.267, -9.597]], "species": ["La", "La", "Re", "Re", "Re", "Re", "Sb", "Sb"], "fractional_positions": [[0.000, 0.000, 0.000], [0.750, 0.250, 0.500], [0.253, 0.625, 0.128], [0.375, 0.503, 0.628], [0.497, 0.125, 0.872], [0.875, 0.747, 0.372], [0.250, 0.750, 0.500], [0.500, 0.500, 0.000]]}


{"formula": "Sc3TlO", "functional": "GGA-PBE", "state": "relaxed", "dft_energy_ev_per_atom": -6.00, "e_form_raw_ev_per_atom": -0.736, "dos_ef_per_ev_atom": 0.357, "cell": [[3.264, -7.973, 0.000], [3.264, 7.973, 0.000], [0.000, 0.000, 5.377]], "species": ["Sc", "Sc", "Sc", "Sc", "Sc", "Sc", "Tl", "Tl", "O", "O"], "fractional_positions": [[0.000, 0.000, 0.000], [0.000, 0.000, 0.500], [0.085, 0.423, 0.750], [0.423, 0.085, 0.250], [0.577, 0.915, 0.750], [0.915, 0.577, 0.250], [0.168, 0.832, 0.750], [0.832, 0.168, 0.250], [0.392, 0.608, 0.750], [0.608, 0.392, 0.250]]}


{"formula": "Ac3Nd", "functional": "GGA-PBE", "state": "relaxed", "dft_energy_ev_per_atom": -4.23, "de_polymorph_mev_per_atom": 23, "ef_ev_per_atom": 0.04, "dos_ef_per_ev_atom": 1.857, "cell": [[-1.975, 6.358, 3.406], [1.975, -6.358, 3.406], [1.975, 6.358, -3.406]], "species": ["Ac", "Ac", "Ac", "Nd"], "fractional_positions": [[0.000, 0.000, 0.000], [0.417, 0.663, 0.754], [0.909, 0.663, 0.246], [0.496, 0.996, 0.500]]}


{"formula": "VCrFeRh", "functional": "GGA-PBE", "state": "relaxed", "dft_energy_ev_per_atom": -8.67, "ef_ev_per_atom": -0.03, "dos_ef_per_ev_atom": 1.026, "cell": [[0.000, 2.948, 2.948], [2.948, 0.000, 2.948], [2.948, 2.948, 0.000]], "species": ["V", "Cr", "Fe", "Rh"], "fractional_positions": [[0.000, 0.000, 0.000], [0.250, 0.250, 0.250], [0.500, 0.500, 0.500], [0.750, 0.750, 0.750]]}


{"formula": "Pr3UPd12", "functional": "GGA-PBE", "state": "relaxed", "dft_energy_ev_per_atom": -6.21, "ef_ev_per_atom": -0.71, "dos_ef_per_ev_atom": 0.773, "cell": [[4.200, 0.000, 0.000], [0.000, 4.200, 0.000], [0.000, 0.000, 16.758]], "species": ["Pr", "Pr", "Pr", "U", "Pd", "Pd", "Pd", "Pd", "Pd", "Pd", "Pd", "Pd", "Pd", "Pd", "Pd", "Pd"], "fractional_positions": [[0.000, 0.000, 0.000], [0.000, 0.000, 0.249], [0.000, 0.000, 0.751], [0.000, 0.000, 0.500], [0.000, 0.500, 0.127], [0.000, 0.500, 0.383], [0.000, 0.500, 0.617], [0.000, 0.500, 0.873], [0.500, 0.000, 0.127], [0.500, 0.000, 0.383], [0.500, 0.000, 0.617], [0.500, 0.000, 0.873], [0.500, 0.500, 0.000], [0.500, 0.500, 0.255], [0.500, 0.500, 0.500], [0.500, 0.500, 0.745]]}


{"formula": "LaFe2Os", "functional": "GGA-PBE", "state": "relaxed", "dft_energy_ev_per_atom": -8.17, "de_polymorph_mev_per_atom": 14, "ef_ev_per_atom": 0.10, "dos_ef_per_ev_atom": 1.937, "cell": [[2.098, 1.211, 5.114], [-2.098, 1.211, 5.114], [0.000, -2.422, 5.114]], "species": ["La", "Fe", "Fe", "Os"], "fractional_positions": [[0.000, 0.000, 0.000], [0.191, 0.191, 0.191], [0.809, 0.809, 0.809], [0.500, 0.500, 0.500]]}


{"formula": "ZrTaTi2", "functional": "GGA-PBE", "state": "relaxed", "dft_energy_ev_per_atom": -8.90, "ef_ev_per_atom": 0.14, "dos_ef_per_ev_atom": 1.578, "cell": [[4.312, 0.000, 0.000], [0.000, 4.312, 0.000], [0.000, 0.000, 4.083]], "species": ["Zr", "Ta", "Ti", "Ti"], "fractional_positions": [[0.000, 0.000, 0.000], [0.500, 0.500, 0.000], [0.000, 0.500, 0.500], [0.500, 0.000, 0.500]]}